Entry 1:
First-principles (PBE) data for a relaxed structure of Ti6MnGa, as listed in Alexandria.

```
data_Ti6MnGa
_space_group_name_H-M_alt 'C 1 2/m 1'
_space_group_IT_number 12
_space_group_name_Hall '-C 2y'
_cell_length_a 5.617
_cell_length_b 9.672
_cell_length_c 5.678
_cell_angle_alpha 90.00
_cell_angle_beta 119.30
_cell_angle_gamma 90.00
loop_
_atom_site_label
_atom_site_type_symbol
_atom_site_fract_x
_atom_site_fract_y
_atom_site_fract_z
_atom_site_occupancy
Ti1 Ti 0.244 0.214 0.242 1
Ti2 Ti 0.245 0.000 0.762 1
Mn1 Mn 0.000 0.000 0.000 1
Ga1 Ga 0.000 0.500 0.500 1
```

Results
volume = 269 Å³ per cell
D(E_F) = 1.22 states/eV/atom
total DFT energy (no corrections) = -7.29 eV per atom
energy of formation = 0.159 eV/atom

Entry 2:
First-principles (PBE) data for a relaxed structure of MnAlAg, as listed in Alexandria.

```
data_MnAlAg
_space_group_name_H-M_alt 'P -6 m 2'
_space_group_IT_number 187
_space_group_name_Hall 'P -6 2'
_cell_length_a 4.4175
_cell_length_b 4.4175
_cell_length_c 2.8283
_cell_angle_alpha 90.00
_cell_angle_beta 90.00
_cell_angle_gamma 120.00
loop_
_atom_site_label
_atom_site_type_symbol
_atom_site_fract_x
_atom_site_fract_y
_atom_site_fract_z
_atom_site_occupancy
Mn1 Mn 0.0000 0.0000 0.0000 1
Al1 Al 0.3333 0.6667 0.5000 1
Ag1 Ag 0.6667 0.3333 0.5000 1
```

Results
volume = 48 Å³ per cell
polymorph energy (0 for the lowest one) = 49 meV/atom
D(E_F) = 0.55 states/eV/atom
total DFT energy (no corrections) = -5.20 eV per atom
energy of formation = 0.055 eV/atom

Entry 3:
First-principles (PBE) data for a relaxed structure of Ho12Sc3Sn5, as listed in Alexandria.

```
data_Ho12Sc3Sn5
_space_group_name_H-M_alt 'I a -3 d'
_space_group_IT_number 230
_space_group_name_Hall '-I 4bd 2c 3'
_cell_length_a 18.039
_cell_length_b 18.039
_cell_length_c 18.039
_cell_angle_alpha 90.00
_cell_angle_beta 90.00
_cell_angle_gamma 90.00
loop_
_atom_site_label
_atom_site_type_symbol
_atom_site_fract_x
_atom_site_fract_y
_atom_site_fract_z
_atom_site_occupancy
Ho1 Ho 0.023 0.076 0.647 1
Sc1 Sc 0.000 0.250 0.125 1
Sn1 Sn 0.000 0.000 0.000 1
Sn2 Sn 0.000 0.250 0.375 1
```

Results
volume = 5870 Å³ per cell
D(E_F) = 1.40 states/eV/atom
total DFT energy (no corrections) = -4.35 eV per atom
energy of formation = 0.351 eV/atom

- Which of these has the lowest volume?
  MnAlAg

- The lowest D(E_F) belongs to which entry?
  MnAlAg

- What is the D(E_F) in the first record?
  1.22 states/eV/atom